## TaFeIr2 (PBE)

Data for an optimized crystal structure of TaFeIr2.

Cell lengths 3.8057, 3.8914, 3.8914 Å; angles 90.00, 90.00, 90.00 degrees
Site moments in Bohr magnetons follow the coordinates.
Element x y z (fractional)
Ir  0.0000  0.0000  0.0000  -0.04
Ir  0.0000  0.5000  0.5000  -0.04
Fe  0.5000  0.0000  0.5000  1.53
Ta  0.5000  0.5000  0.0000  -0.17

Values from the calculation:
The crystal system is tetragonal.

## TaFeIr2 (PBE)

Data for an optimized crystal structure of TaFeIr2.

Cell lengths 4.7742, 4.7742, 4.7177 Å; angles 80.19, 80.19, 34.22 degrees
Site moments in Bohr magnetons follow the coordinates.
Element x y z (fractional)
Fe  0.2566  0.2566  0.2281  2.44
Ir  0.0012  0.0012  0.0195  0.06
Ir  0.7444  0.7444  0.7425  0.03
Ta  0.4977  0.4977  0.5099  -0.12

Values from the calculation:
The crystal system is monoclinic.

## TaFeIr2 (PBE)

Data for an optimized crystal structure of TaFeIr2.

Cell lengths 4.6717, 4.6717, 2.8283 Å; angles 90.00, 90.00, 107.48 degrees
Site moments in Bohr magnetons follow the coordinates.
Element x y z (fractional)
Fe  0.0000  0.5000  0.5000  2.10
Ir  0.0000  0.0000  0.0000  -0.07
Ir  0.5000  0.5000  0.0000  -0.07
Ta  0.5000  0.0000  0.5000  -0.15

Values from the calculation:
The crystal system is orthorhombic.

## TaFeIr3 (PBE)

Data for an optimized crystal structure of TaFeIr3.

Cell lengths 4.4341, 4.4341, 4.4341 Å; angles 90.00, 90.00, 90.00 degrees
Site moments in Bohr magnetons follow the coordinates.
Element x y z (fractional)
Ir  0.0000  0.5000  0.0000  0.22
Ir  0.0000  0.0000  0.5000  0.27
Ir  0.5000  0.0000  0.0000  0.08
Fe  0.0000  0.0000  0.0000  2.23
Ta  0.5000  0.5000  0.5000  0.32

Values from the calculation:
The energy above the lowest structure with this stoichiometry is 0.00 eV/f.u. The crystal system is cubic.

no.,M_tot (μB per cell),energy relative to the elements (eV/atom),raw total energy (eV per atom)
1,1.24,-0.486,-9.996
2,2.39,-0.238,-9.747
3,1.77,-0.311,-9.821
4,3.39,1.163,-8.217